## a
## CuIrS2Cl (PBE)

Data for CuIrS2Cl after structural relaxation.

Output
Its crystal system is tetragonal. The value obtained for the density of states at the Fermi level is 4.75 states/eV/f.u. The calculation puts the calculated volume at 105 Å³/cell.

Cell lengths 4.6019, 4.6019, 4.9499 Å; angles 90.00, 90.00, 90.00 degrees
With the nearest neighbours (Å) after each atom.
Sites, in units of the cell vectors:
Cu (0.5000, 0.5000, 0.5000)  4 Cl 3.25, 8 S 3.38
Ir (0.0000, 0.0000, 0.0000)  4 S 2.30, 2 Cl 2.47
S (0.0000, 0.5000, 0.0000)  2 Ir 2.30
S (0.5000, 0.0000, 0.0000)  2 Ir 2.30
Cl (0.0000, 0.0000, 0.5000)  2 Ir 2.47

---

## b
## CuIrS2Cl (PBE)

Data for CuIrS2Cl after structural relaxation.

Output
Its crystal system is tetragonal. The value obtained for the density of states at the Fermi level is 5.30 states/eV/f.u. The calculation puts the calculated volume at 90 Å³/cell.

Cell lengths 4.5596, 4.5596, 4.3452 Å; angles 90.00, 90.00, 90.00 degrees
With the nearest neighbours (Å) after each atom.
Sites, in units of the cell vectors:
S (0.5000, 0.0000, 0.0000)  2 Cu 2.28
Cl (0.0000, 0.0000, 0.5000)  2 Cu 2.17
S (0.0000, 0.5000, 0.0000)  2 Cu 2.28
Ir (0.5000, 0.5000, 0.5000)  8 S 3.15, 4 Cl 3.22
Cu (0.0000, 0.0000, 0.0000)  2 Cl 2.17, 4 S 2.28

---

Name the least stable of them. b.

---

## a
## KCu2Cl (PBE)

Data for KCu2Cl after structural relaxation.

Output
Its crystal system is tetragonal. The value obtained for the density of states at the Fermi level is 0.80 states/eV/f.u. The calculation puts the calculated volume at 100 Å³/cell.

Cell lengths 3.9048, 3.9048, 6.5572 Å; angles 90.00, 90.00, 90.00 degrees
With the nearest neighbours (Å) after each atom.
Sites, in units of the cell vectors:
Cl (0.0000, 0.5000, 0.5000)  4 K 2.76
K (0.5000, 0.0000, 0.5000)  4 Cl 2.76
Cu (0.5000, 0.5000, 0.0000)  4 Cu 2.76
Cu (0.0000, 0.0000, 0.0000)  4 Cu 2.76

---

## b
## KCu2Cl (PBE)

Data for KCu2Cl after structural relaxation.

Output
Its crystal system is monoclinic. The value obtained for the density of states at the Fermi level is 0.86 states/eV/f.u. The calculation puts the calculated volume at 94 Å³/cell.

Cell lengths 4.1877, 4.1877, 7.4697 Å; angles 69.65, 69.65, 51.35 degrees
With the nearest neighbours (Å) after each atom.
Sites, in units of the cell vectors:
K (0.5226, 0.5226, 0.4958)  3 Cl 3.02-3.05, 3 Cu 3.29-3.35
Cu (0.9600, 0.9600, 0.9513)  3 Cu 2.43-2.47, 2 Cl 2.56
Cl (0.3264, 0.3264, 0.2113)  2 Cu 2.56
Cu (0.6910, 0.6910, 0.8416)  3 Cu 2.43-2.47

---

Name the least stable of them. a.

---

## a
## KCu2Cl (PBE)

Data for KCu2Cl after structural relaxation.

Output
Its crystal system is tetragonal. The value obtained for the density of states at the Fermi level is 0.97 states/eV/f.u. The calculation puts the calculated volume at 92 Å³/cell.

Cell lengths 3.5290, 3.5267, 7.4130 Å; angles 90.00, 90.00, 90.00 degrees
With the nearest neighbours (Å) after each atom.
Sites, in units of the cell vectors:
Cu (0.5000, 0.5000, 0.0772)  1 Cl 2.38, 4 Cu 2.52
Cu (0.0000, 0.0000, 0.1259)  4 Cu 2.52
Cl (0.5000, 0.5000, 0.7561)  1 Cu 2.38
K (0.0000, 0.0000, 0.5408)  4 Cl 2.96, 1 Cu 3.08

---

## b
## KCu2Cl (PBE)

Data for KCu2Cl after structural relaxation.

Output
Its crystal system is orthorhombic. The value obtained for the density of states at the Fermi level is 0.86 states/eV/f.u. The calculation puts the calculated volume at 94 Å³/cell.

Cell lengths 6.9420, 6.9420, 6.9420 Å; angles 152.30, 142.71, 47.08 degrees
With the nearest neighbours (Å) after each atom.
Sites, in units of the cell vectors:
K (0.7500, 0.2500, 0.5000)  4 Cl 2.77
Cu (0.0116, 0.0116, 0.0000)  4 Cu 2.79
Cu (0.4884, 0.4884, 0.0000)  4 Cu 2.79
Cl (0.2500, 0.7500, 0.5000)  4 K 2.77

---

## c
## KCu2Cl (PBE)

Data for KCu2Cl after structural relaxation.

Output
Its crystal system is trigonal. The value obtained for the density of states at the Fermi level is 1.57 states/eV/f.u. The calculation puts the calculated volume at 89 Å³/cell.

Cell lengths 9.3264, 9.3264, 9.3264 Å; angles 20.71, 20.71, 20.71 degrees
With the nearest neighbours (Å) after each atom.
Sites, in units of the cell vectors:
Cu (0.0198, 0.0198, 0.0198)  3 Cl 2.60
K (0.2500, 0.2500, 0.2500)  6 K 3.35, 6 Cu 3.42
Cl (0.7500, 0.7500, 0.7500)  6 Cu 2.60
Cu (0.4802, 0.4802, 0.4802)  3 Cl 2.60

---

## d
## KCu2Cl (PBE)

Data for KCu2Cl after structural relaxation.

Output
Its crystal system is cubic. The value obtained for the density of states at the Fermi level is 0.51 states/eV/f.u. The calculation puts the calculated volume at 87 Å³/cell.

Cell lengths 4.9836, 4.9841, 4.9838 Å; angles 120.05, 120.05, 89.91 degrees
With the nearest neighbours (Å) after each atom.
Sites, in units of the cell vectors:
K (0.5000, 0.5000, 0.0000)  4 Cl 3.05, 4 Cu 3.05
Cu (0.0000, 0.0000, 0.0000)  4 Cu 3.05, 4 Cl 3.05
Cl (0.7500, 0.2500, 0.5000)  4 Cu 3.05, 4 K 3.05
Cu (0.2500, 0.7500, 0.5000)  4 Cu 3.05, 4 K 3.05

---

Name the least stable of them. c.

---

## a
## KCu2Cl (PBE)

Data for KCu2Cl after structural relaxation.

Output
Its crystal system is monoclinic. The value obtained for the density of states at the Fermi level is 0.38 states/eV/f.u. The calculation puts the calculated volume at 85 Å³/cell.

Cell lengths 3.4038, 3.5273, 7.2887 Å; angles 75.86, 90.00, 90.00 degrees
With the nearest neighbours (Å) after each atom.
Sites, in units of the cell vectors:
Cl (0.5000, 0.9260, 0.7696)  2 Cu 2.67
K (0.0000, 0.5508, 0.5228)  4 Cl 3.01, 1 Cu 3.27
Cu (0.5000, 0.2393, 0.1474)  4 Cu 2.53
Cu (0.0000, 0.7839, 0.0602)  4 Cu 2.53, 2 Cl 2.67

---

## b
## KCu2Cl (PBE)

Data for KCu2Cl after structural relaxation.

Output
Its crystal system is orthorhombic. The value obtained for the density of states at the Fermi level is 0.08 states/eV/f.u. The calculation puts the calculated volume at 100 Å³/cell.

Cell lengths 5.6500, 5.6500, 5.6500 Å; angles 142.08, 111.19, 81.36 degrees
With the nearest neighbours (Å) after each atom.
Sites, in units of the cell vectors:
Cu (0.8285, 0.3285, 0.5000)  2 Cu 2.35
K (0.4855, 0.4855, 0.0000)  2 Cl 3.16, 4 Cu 3.46-3.47
Cu (0.0002, 0.0002, 0.0000)  2 Cu 2.35, 2 Cl 2.43
Cl (0.1858, 0.6858, 0.5000)  2 Cu 2.43

---

Name the least stable of them. b.

---

## a
## KCu2Cl (PBE)

Data for KCu2Cl after structural relaxation.

Output
Its crystal system is cubic. The value obtained for the density of states at the Fermi level is 1.32 states/eV/f.u. The calculation puts the calculated volume at 91 Å³/cell.

Cell lengths 5.0486, 5.0486, 5.0486 Å; angles 60.00, 60.00, 60.00 degrees
With the nearest neighbours (Å) after each atom.
Sites, in units of the cell vectors:
Cu (0.2500, 0.2500, 0.2500)  4 Cl 3.09, 4 K 3.09
Cu (0.7500, 0.7500, 0.7500)  4 Cl 3.09, 4 K 3.09
K (0.5000, 0.5000, 0.5000)  8 Cu 3.09
Cl (0.0000, 0.0000, 0.0000)  8 Cu 3.09

---

## b
## KCu2Cl (PBE)

Data for KCu2Cl after structural relaxation.

Output
Its crystal system is orthorhombic. The value obtained for the density of states at the Fermi level is 0.89 states/eV/f.u. The calculation puts the calculated volume at 96 Å³/cell.

Cell lengths 6.8503, 6.8503, 2.8409 Å; angles 90.00, 90.00, 133.70 degrees
With the nearest neighbours (Å) after each atom.
Sites, in units of the cell vectors:
K (0.5000, 0.0000, 0.5000)  2 Cl 2.69, 2 K 2.84
Cu (0.0000, 0.0000, 0.0000)  4 Cu 2.69-2.84
Cu (0.5000, 0.5000, 0.0000)  4 Cu 2.69-2.84
Cl (0.0000, 0.5000, 0.5000)  2 K 2.69, 2 Cl 2.84

---

## c
## KCu2Cl (PBE)

Data for KCu2Cl after structural relaxation.

Output
Its crystal system is tetragonal. The value obtained for the density of states at the Fermi level is 0.62 states/eV/f.u. The calculation puts the calculated volume at 220 Å³/cell.

Cell lengths 4.6475, 4.6475, 10.7088 Å; angles 77.47, 77.47, 90.00 degrees
With the nearest neighbours (Å) after each atom.
Sites, in units of the cell vectors:
Cu (0.3750, 0.6250, 0.2500)  2 Cu 2.32
Cl (0.2500, 0.7500, 0.5000)  4 Cu 2.80
K (0.7500, 0.2500, 0.5000)  4 Cl 3.29, 8 Cu 3.64
Cl (0.5000, 0.5000, 0.0000)  4 Cu 2.80
Cu (0.3750, 0.6250, 0.7500)  2 Cu 2.32
Cu (0.3750, 0.1250, 0.2500)  2 Cu 2.32
Cu (0.8750, 0.6250, 0.7500)  2 Cu 2.32
K (0.0000, 0.0000, 0.0000)  4 Cl 3.29, 8 Cu 3.64

---

## d
## KCu2Cl (PBE)

Data for KCu2Cl after structural relaxation.

Output
Its crystal system is orthorhombic. The value obtained for the density of states at the Fermi level is 2.04 states/eV/f.u. The calculation puts the calculated volume at 91 Å³/cell.

Cell lengths 3.3782, 3.3782, 9.3189 Å; angles 90.00, 90.00, 121.05 degrees
With the nearest neighbours (Å) after each atom.
Sites, in units of the cell vectors:
Cu (0.0000, 0.0000, 0.5543)  2 Cl 2.47
Cu (0.0000, 0.0000, 0.9457)  2 Cl 2.47
K (0.5000, 0.5000, 0.2500)  4 Cu 3.29, 6 K 3.32-3.38
Cl (0.5000, 0.5000, 0.7500)  4 Cu 2.47

---

Name the least stable of them. a.

---

## a
## K2CuCl (PBE)

Data for K2CuCl after structural relaxation.

Output
Its crystal system is tetragonal. The calculation puts the calculated volume at 142 Å³/cell.

Cell lengths 7.7611, 7.7611, 7.7611 Å; angles 146.47, 146.47, 48.14 degrees
With the nearest neighbours (Å) after each atom.
Sites, in units of the cell vectors:
K (0.0000, 0.0000, 0.0000)  4 Cl 3.17
Cl (0.5000, 0.5000, 0.0000)  4 K 3.17
Cu (0.7500, 0.2500, 0.5000)  4 K 3.17
K (0.2500, 0.7500, 0.5000)  4 Cu 3.17

---

## b
## K2CuCl (PBE)

Data for K2CuCl after structural relaxation.

Output
Its crystal system is orthorhombic. The value obtained for the density of states at the Fermi level is 0.00 states/eV/f.u. The calculation puts the calculated volume at 132 Å³/cell.

Cell lengths 6.5364, 6.5364, 5.1336 Å; angles 90.01, 90.01, 36.89 degrees
With the nearest neighbours (Å) after each atom.
Sites, in units of the cell vectors:
Cu (0.2638, 0.2638, 0.1253)  7 K 3.30-3.55
K (0.7494, 0.7494, 0.6251)  1 Cl 3.21, 4 Cu 3.30
K (0.9962, 0.9962, 0.1248)  4 Cl 3.30, 3 Cu 3.32-3.55
Cl (0.4906, 0.4906, 0.6248)  5 K 3.21-3.30

---

## c
## K2CuCl (PBE)

Data for K2CuCl after structural relaxation.

Output
Its crystal system is tetragonal. The value obtained for the density of states at the Fermi level is 0.00 states/eV/f.u. The calculation puts the calculated volume at 325 Å³/cell.

Cell lengths 8.2904, 8.2904, 7.5327 Å; angles 56.61, 56.61, 90.00 degrees
With the nearest neighbours (Å) after each atom.
Sites, in units of the cell vectors:
Cl (0.5000, 0.5000, 0.0000)  4 K 3.03
K (0.3750, 0.3998, 0.7500)  2 Cl 3.03, 2 Cu 3.30
Cu (0.0000, 0.0000, 0.0000)  4 K 3.30
K (0.6002, 0.1250, 0.2500)  2 Cl 3.03, 2 Cu 3.30
K (0.8750, 0.8502, 0.7500)  2 Cl 3.03, 2 Cu 3.30
K (0.1498, 0.6250, 0.2500)  2 Cl 3.03, 2 Cu 3.30
Cl (0.2500, 0.7500, 0.5000)  4 K 3.03
Cu (0.7500, 0.2500, 0.5000)  4 K 3.30

---

## d
## K2CuCl (PBE)

Data for K2CuCl after structural relaxation.

Output
Its crystal system is monoclinic. The calculation puts the calculated volume at 142 Å³/cell.

Cell lengths 4.5679, 4.5679, 8.2926 Å; angles 74.10, 74.10, 59.81 degrees
With the nearest neighbours (Å) after each atom.
Sites, in units of the cell vectors:
K (0.4934, 0.4934, 0.5185)  3 Cl 3.20-3.21, 3 Cu 3.37-3.38
Cl (0.7500, 0.7500, 0.7500)  6 K 3.20-3.21
K (0.0066, 0.0066, 0.9815)  3 Cl 3.20-3.21, 3 Cu 3.37-3.38
Cu (0.2500, 0.2500, 0.2500)  6 K 3.37-3.38

---

Name the least stable of them. a.

---

## a
## K2CuCl (PBE)

Data for K2CuCl after structural relaxation.

Output
Its crystal system is orthorhombic. The value obtained for the density of states at the Fermi level is 0.11 states/eV/f.u. The calculation puts the calculated volume at 120 Å³/cell.

Cell lengths 3.8799, 3.8658, 8.8722 Å; angles 64.17, 90.00, 90.00 degrees
With the nearest neighbours (Å) after each atom.
Sites, in units of the cell vectors:
Cu (0.5000, 0.7500, 0.7500)  8 K 3.46, 2 Cu 3.87
K (0.0000, 0.5157, 0.4844)  4 Cl 3.32, 4 Cu 3.46
Cl (0.5000, 0.2500, 0.2500)  8 K 3.32
K (0.0000, 0.9843, 0.0156)  4 Cl 3.32, 4 Cu 3.46

---

## b
## K2CuCl (PBE)

Data for K2CuCl after structural relaxation.

Output
Its crystal system is cubic. The value obtained for the density of states at the Fermi level is 0.00 states/eV/f.u. The calculation puts the calculated volume at 123 Å³/cell.

Cell lengths 5.5867, 5.5867, 5.5867 Å; angles 60.00, 60.00, 60.00 degrees
With the nearest neighbours (Å) after each atom.
Sites, in units of the cell vectors:
Cl (0.0000, 0.0000, 0.0000)  8 K 3.42
Cu (0.5000, 0.5000, 0.5000)  8 K 3.42
K (0.2500, 0.2500, 0.2500)  4 Cl 3.42, 4 Cu 3.42
K (0.7500, 0.7500, 0.7500)  4 Cu 3.42, 4 Cl 3.42

---

## c
## K2CuCl (PBE)

Data for K2CuCl after structural relaxation.

Output
Its crystal system is cubic. The calculation puts the calculated volume at 123 Å³/cell.

Cell lengths 5.5826, 5.5826, 5.5826 Å; angles 60.00, 60.00, 60.00 degrees
With the nearest neighbours (Å) after each atom.
Sites, in units of the cell vectors:
Cu (0.7500, 0.7500, 0.7500)  4 Cl 3.42, 4 K 3.42
K (0.0000, 0.0000, 0.0000)  4 Cu 3.42, 4 K 3.42
Cl (0.5000, 0.5000, 0.5000)  4 K 3.42, 4 Cu 3.42
K (0.2500, 0.2500, 0.2500)  4 Cl 3.42, 4 K 3.42

---

Name the least stable of them. c.

---

## a
## K2LaCuCl6 (PBE)

Data for K2LaCuCl6 after structural relaxation.

Output
Its crystal system is cubic. The value obtained for the density of states at the Fermi level is 0.00 states/eV/f.u. The calculation puts the calculated volume at 297 Å³/cell.

Cell lengths 7.4858, 7.4858, 7.4858 Å; angles 60.00, 60.00, 60.00 degrees
With the nearest neighbours (Å) after each atom.
Sites, in units of the cell vectors:
Cl (0.2608, 0.2608, 0.7392)  1 Cu 2.53, 1 La 2.76
Cl (0.7392, 0.2608, 0.7392)  1 Cu 2.53, 1 La 2.76
K (0.2500, 0.2500, 0.2500)  12 Cl 3.74
Cl (0.7392, 0.2608, 0.2608)  1 Cu 2.53, 1 La 2.76
Cl (0.2608, 0.7392, 0.7392)  1 Cu 2.53, 1 La 2.76
Cl (0.7392, 0.7392, 0.2608)  1 Cu 2.53, 1 La 2.76
Cl (0.2608, 0.7392, 0.2608)  1 Cu 2.53, 1 La 2.76
K (0.7500, 0.7500, 0.7500)  12 Cl 3.74
Cu (0.5000, 0.5000, 0.5000)  6 Cl 2.53
La (0.0000, 0.0000, 0.0000)  6 Cl 2.76

---

## b
## K2LaCuCl6 (PBE)

Data for K2LaCuCl6 after structural relaxation.

Output
Its crystal system is monoclinic. The value obtained for the density of states at the Fermi level is 0.00 states/eV/f.u. The calculation puts the calculated volume at 622 Å³/cell.

Cell lengths 7.7789, 8.4218, 9.4984 Å; angles 90.00, 89.13, 90.00 degrees
With the nearest neighbours (Å) after each atom.
Sites, in units of the cell vectors:
Cl (0.1967, 0.1598, 0.0510)  1 La 2.75
Cl (0.3403, 0.7112, 0.0488)  1 La 2.77
K (0.4887, 0.4195, 0.2471)  6 Cl 3.13-3.40
Cl (0.0969, 0.4620, 0.7879)  1 Cu 2.16
Cl (0.9031, 0.5380, 0.2121)  1 Cu 2.16
Cl (0.6597, 0.2888, 0.9512)  1 La 2.77
Cl (0.1597, 0.2112, 0.4512)  1 La 2.77
Cl (0.3033, 0.6598, 0.4490)  1 La 2.75
La (0.5000, 0.0000, 0.0000)  6 Cl 2.75-2.87
Cu (0.5000, 0.0000, 0.5000)  2 Cl 2.16
K (0.9887, 0.0805, 0.7471)  6 Cl 3.13-3.40
Cl (0.4031, 0.9620, 0.7121)  1 Cu 2.16
Cl (0.5969, 0.0380, 0.2879)  1 Cu 2.16
Cl (0.8403, 0.7888, 0.5488)  1 La 2.77
Cl (0.8033, 0.8402, 0.9490)  1 La 2.75
K (0.0113, 0.9195, 0.2529)  6 Cl 3.13-3.40
Cl (0.6967, 0.3402, 0.5510)  1 La 2.75
K (0.5113, 0.5805, 0.7529)  6 Cl 3.13-3.40
Cu (0.0000, 0.5000, 0.0000)  2 Cl 2.16
La (0.0000, 0.5000, 0.5000)  6 Cl 2.75-2.87

---

Name the least stable of them. a.